AcHoHgPb: optimized geometry, PBE.

a = 5.5862 Å, b = 5.5862 Å, c = 5.5862 Å
α = 60.00°, β = 60.00°, γ = 60.00°
Closest atoms and distances in Å follow each position.
Fractional coordinates of all 4 atoms:
Pb1 0.2500 0.2500 0.2500  4 Ho 3.42, 4 Ac 3.42
Ac1 0.5000 0.5000 0.5000  4 Pb 3.42, 4 Hg 3.42
Hg1 0.7500 0.7500 0.7500  4 Ac 3.42, 4 Ho 3.42
Ho1 0.0000 0.0000 0.0000  4 Hg 3.42, 4 Pb 3.42

Calculated values
* ΔH_f (0 K): -418 meV per atom
* total magnetization: 0.00 Bohr magnetons per cell
* crystal system: cubic
* SG: F-43m